(1)
Li2CrBr | PBE | optimized geometry

Unit cell a=7.3017 b=7.3017 c=6.2001 alpha=53.93 beta=53.93 gamma=90.00
Fractional positions:
1 Cr 0.5000 0.5000 0.0000
2 Cr 0.2500 0.7500 0.5000
3 Br 0.0000 0.0000 0.0000
4 Br 0.7500 0.2500 0.5000
5 Li 0.6723 0.1250 0.2500
6 Li 0.0777 0.6250 0.2500
7 Li 0.3750 0.3277 0.7500
8 Li 0.8750 0.9223 0.7500

Values from the calculation:
Its space group is I-42d, No. 122. The calculation puts the density of states at the Fermi level at 0.2074 states/eV/atom. The density is 2.6 g cm⁻³. The formation energy (no corrections) comes out at 47 meV per atom. As for the total DFT energy (no corrections): -3.734 eV per atom. As for the offset from the most stable computed form: 179 meV per atom.

(2)
CeDy3O | PBE | optimized geometry

Unit cell a=4.9252 b=4.9252 c=4.9252 alpha=90.00 beta=90.00 gamma=90.00
Fractional positions:
1 O 0.0000 0.0000 0.0000
2 Ce 0.5000 0.5000 0.5000
3 Dy 0.0000 0.5000 0.0000
4 Dy 0.0000 0.0000 0.5000
5 Dy 0.5000 0.0000 0.0000

Values from the calculation:
Its space group is Pm-3m, No. 221. The calculation puts the density of states at the Fermi level at 2.0259 states/eV/atom. The density is 8.9 g cm⁻³. The formation energy (no corrections) comes out at -1006 meV per atom. As for the total DFT energy (no corrections): -5.946 eV per atom.

(3)
TlHgCl | PBE | optimized geometry

Unit cell a=5.3372 b=5.3372 c=5.3372 alpha=60.00 beta=60.00 gamma=60.00
Fractional positions:
1 Tl 0.7500 0.7500 0.7500
2 Hg 0.5000 0.5000 0.5000
3 Cl 0.0000 0.0000 0.0000

Values from the calculation:
Its space group is F-43m, No. 216. The calculation puts the density of states at the Fermi level at 0.0000 states/eV/atom. The density is 6.8 g cm⁻³. The formation energy (no corrections) comes out at -564 meV per atom. As for the total DFT energy (no corrections): -2.069 eV per atom. As for the offset from the most stable computed form: 81 meV per atom.

(4)
Nd2HoTlO6 | PBE | optimized geometry

Unit cell a=5.9584 b=5.9584 c=6.1774 alpha=61.16 beta=61.16 gamma=60.00
Fractional positions:
1 Nd 0.5282 0.5282 0.4154
2 Nd 0.0308 0.0308 0.9077
3 Ho 0.8095 0.8095 0.5715
4 Tl 0.3080 0.3080 0.0760
5 O 0.6174 0.1889 0.2616
6 O 0.1889 0.9322 0.2616
7 O 0.9322 0.6174 0.2616
8 O 0.4398 0.6982 0.7532
9 O 0.6982 0.1088 0.7533
10 O 0.1088 0.4398 0.7533

Values from the calculation:
Its space group is R3, No. 146. The calculation puts the density of states at the Fermi level at 0.0000 states/eV/atom. The density is 7.9 g cm⁻³. The formation energy (no corrections) comes out at -2704 meV per atom. As for the total DFT energy (no corrections): -7.327 eV per atom.

(5)
Ti4ZnS8 | PBE | optimized geometry

Unit cell a=7.4058 b=7.4058 c=7.4058 alpha=54.69 beta=54.69 gamma=54.69
Fractional positions:
1 Ti 0.0000 0.5000 0.5000
2 Ti 0.5000 0.0000 0.5000
3 Ti 0.5000 0.5000 0.0000
4 Ti 0.0000 0.0000 0.0000
5 Zn 0.5000 0.5000 0.5000
6 S 0.2584 0.7540 0.7540
7 S 0.2460 0.2460 0.7416
8 S 0.7416 0.2460 0.2460
9 S 0.2460 0.7416 0.2460
10 S 0.2577 0.2577 0.2577
11 S 0.7423 0.7423 0.7423
12 S 0.7540 0.2584 0.7540
13 S 0.7540 0.7540 0.2584

Values from the calculation:
Its space group is R-3m, No. 166. The calculation puts the density of states at the Fermi level at 0.4391 states/eV/atom. The density is 3.4 g cm⁻³. The formation energy (no corrections) comes out at -1205 meV per atom. As for the total DFT energy (no corrections): -6.272 eV per atom. As for the offset from the most stable computed form: 49 meV per atom.

(6)
Cd2TeP | PBE | optimized geometry

Unit cell a=3.5491 b=3.5491 c=8.1820 alpha=90.00 beta=90.00 gamma=109.84
Fractional positions:
1 Cd 0.0000 0.0000 0.0358
2 Cd 0.0000 0.0000 0.4642
3 P 0.5000 0.5000 0.2500
4 Te 0.5000 0.5000 0.7500

Values from the calculation:
Its space group is Cmmm, No. 65. The calculation puts the density of states at the Fermi level at 0.6674 states/eV/atom. The density is 6.6 g cm⁻³. The formation energy (no corrections) comes out at 238 meV per atom. As for the total DFT energy (no corrections): -2.357 eV per atom. As for the offset from the most stable computed form: 305 meV per atom.

Please write out number 4 again, unchanged.
Nd2HoTlO6 | PBE | optimized geometry

Unit cell a=5.9584 b=5.9584 c=6.1774 alpha=61.16 beta=61.16 gamma=60.00
Fractional positions:
1 Nd 0.5282 0.5282 0.4154
2 Nd 0.0308 0.0308 0.9077
3 Ho 0.8095 0.8095 0.5715
4 Tl 0.3080 0.3080 0.0760
5 O 0.6174 0.1889 0.2616
6 O 0.1889 0.9322 0.2616
7 O 0.9322 0.6174 0.2616
8 O 0.4398 0.6982 0.7532
9 O 0.6982 0.1088 0.7533
10 O 0.1088 0.4398 0.7533

Values from the calculation:
Its space group is R3, No. 146. The calculation puts the density of states at the Fermi level at 0.0000 states/eV/atom. The density is 7.9 g cm⁻³. The formation energy (no corrections) comes out at -2704 meV per atom. As for the total DFT energy (no corrections): -7.327 eV per atom.

Which of these has the highest formation energy (no corrections)? Cd2TeP

Which formula does entry 3 have? TlHgCl